DFT (GGA-PBE) results for an optimized crystal structure of Li2MnCu.

a b c (Å): 4.436 4.436 4.436
angles (deg): 125.73 125.73 80.34
Element x y z (fractional)
Cu 0.750 0.250 0.500
Li 0.000 0.000 0.000
Li 0.250 0.750 0.500
Mn 0.500 0.500 0.000

Formation energy ... 0.181 eV/atom
Energy above the lowest structure with this stoichiometry ... 0.11 eV/f.u.
V ... 13.9 A^3/atom
DOS(E_F) ... 2.696 states/eV per cell